Entry 1:
The following is a GGA-PBE calculation of a relaxed CaCl3 crystal, from Alexandria via LeMat-Bulk.

* VASP energy: -3.360 eV/atom
* formation energy (no corrections): -34.0 kcal/mol of atoms

a b c (Å): 4.0674 4.0674 6.8026
angles (deg): 90.00 90.00 90.00
Positions (direct):
1 Ca 0.0000 0.0000 0.0000
2 Cl 0.0000 0.5000 0.2842
3 Cl 0.5000 0.0000 0.2842
4 Cl 0.5000 0.5000 0.8466


Entry 2:
The following is a GGA-PBE calculation of a relaxed Ca2Cl3 crystal, from Alexandria via LeMat-Bulk.

* VASP energy: -3.851 eV/atom
* formation energy (no corrections): -44.8 kcal/mol of atoms

a b c (Å): 7.9646 7.9646 7.9646
angles (deg): 50.85 50.85 50.85
Positions (direct):
1 Ca 0.1583 0.1583 0.1583
2 Ca 0.3417 0.3417 0.3417
3 Ca 0.6583 0.6583 0.6583
4 Ca 0.8417 0.8417 0.8417
5 Cl 0.0555 0.7500 0.4445
6 Cl 0.2500 0.5555 0.9445
7 Cl 0.4445 0.0555 0.7500
8 Cl 0.5555 0.9445 0.2500
9 Cl 0.7500 0.4445 0.0555
10 Cl 0.9445 0.2500 0.5555


Entry 3:
The following is a GGA-PBE calculation of a relaxed CaCl4 crystal, from Alexandria via LeMat-Bulk.

* VASP energy: -2.829 eV/atom
* formation energy (no corrections): -21.9 kcal/mol of atoms

a b c (Å): 5.4092 5.4092 5.4092
angles (deg): 90.00 90.00 90.00
Positions (direct):
1 Ca 0.0000 0.0000 0.0000
2 Cl 0.0000 0.0000 0.5000
3 Cl 0.0000 0.5000 0.0000
4 Cl 0.5000 0.0000 0.0000
5 Cl 0.5000 0.5000 0.5000


Entry 4:
The following is a GGA-PBE calculation of a relaxed CaCl8 crystal, from Alexandria via LeMat-Bulk.

* VASP energy: -2.017 eV/atom
* formation energy (no corrections): -3.5 kcal/mol of atoms

a b c (Å): 7.2423 7.2423 7.2423
angles (deg): 97.40 97.40 137.95
Positions (direct):
1 Ca 0.0000 0.0000 0.0000
2 Cl 0.0000 0.2876 0.2876
3 Cl 0.0000 0.7124 0.7124
4 Cl 0.2876 0.0000 0.2876
5 Cl 0.3504 0.3504 0.7008
6 Cl 0.3504 0.6496 0.0000
7 Cl 0.6496 0.3504 0.0000
8 Cl 0.6496 0.6496 0.2992
9 Cl 0.7124 0.0000 0.7124


| no. | total moment (μB/atom) |
| --- | --- |
| 1 | 0.000 |
| 2 | 0.002 |
| 3 | 0.404 |
| 4 | 0.669 |